[1]
DFT (SCAN) results for Ge19As4I4 at its PBEsol-relaxed geometry. Values from VASP.

Properties
Calculated density = 6.0 g cm⁻³
ΔE_f (raw) = -0.085 eV per atom
Magnetization = 0.00 Bohr magnetons per cell
SG = No. 218

Quantum ESPRESSO input file:
```
&SYSTEM
  ibrav = 0, nat = 54, ntyp = 3
/
ATOMIC_SPECIES
Ge 72.64 Ge.upf
As 74.92 As.upf
I 126.90 I.upf
CELL_PARAMETERS angstrom
10.6396 0.0000 0.0000
0.0000 10.6396 0.0000
0.0000 0.0000 10.6396
ATOMIC_POSITIONS crystal
Ge 0.0000 0.2500 0.5000
Ge 0.0000 0.7500 0.5000
Ge 0.0028 0.1171 0.3101
Ge 0.0028 0.8829 0.6899
Ge 0.1171 0.3101 0.0028
Ge 0.1171 0.6899 0.9972
Ge 0.1823 0.1823 0.1823
Ge 0.1823 0.8177 0.8177
Ge 0.1899 0.3829 0.5028
Ge 0.1899 0.6171 0.4972
Ge 0.2500 0.5000 0.0000
Ge 0.3101 0.0028 0.1171
Ge 0.3101 0.9972 0.8829
Ge 0.3177 0.3177 0.6823
Ge 0.3177 0.6823 0.3177
Ge 0.3829 0.4972 0.8101
Ge 0.3829 0.5028 0.1899
Ge 0.4972 0.1899 0.6171
Ge 0.4972 0.8101 0.3829
Ge 0.5000 0.0000 0.2500
Ge 0.5000 0.0000 0.7500
Ge 0.5028 0.1899 0.3829
Ge 0.5028 0.8101 0.6171
Ge 0.6171 0.4972 0.1899
Ge 0.6171 0.5028 0.8101
Ge 0.6823 0.3177 0.3177
Ge 0.6823 0.6823 0.6823
Ge 0.6899 0.0028 0.8829
Ge 0.6899 0.9972 0.1171
Ge 0.7500 0.5000 0.0000
Ge 0.8101 0.3829 0.4972
Ge 0.8101 0.6171 0.5028
Ge 0.8177 0.1823 0.8177
Ge 0.8177 0.8177 0.1823
Ge 0.8829 0.3101 0.9972
Ge 0.8829 0.6899 0.0028
Ge 0.9972 0.1171 0.6899
Ge 0.9972 0.8829 0.3101
As 0.1842 0.1842 0.8158
As 0.1842 0.8158 0.1842
As 0.3158 0.3158 0.3158
As 0.3158 0.6842 0.6842
As 0.6842 0.3158 0.6842
As 0.6842 0.6842 0.3158
As 0.8158 0.1842 0.1842
As 0.8158 0.8158 0.8158
I 0.0000 0.0000 0.0000
I 0.0000 0.5000 0.2500
I 0.0000 0.5000 0.7500
I 0.2500 0.0000 0.5000
I 0.5000 0.2500 0.0000
I 0.5000 0.5000 0.5000
I 0.5000 0.7500 0.0000
I 0.7500 0.0000 0.5000
```

---

[2]
DFT (SCAN) results for Cr3Rh at its PBEsol-relaxed geometry. Values from VASP.

Properties
Energy above the lowest structure with this stoichiometry = 0.75 eV per formula unit
Calculated density = 9.0 g cm⁻³
Formation energy = 0.121 eV/atom
Magnetization = 0.00 Bohr magnetons per cell
SG = No. 65

Quantum ESPRESSO input file:
```
&SYSTEM
  ibrav = 0, nat = 4, ntyp = 2
/
ATOMIC_SPECIES
Cr 52.00 Cr.upf
Rh 102.91 Rh.upf
CELL_PARAMETERS angstrom
1.4232 -2.0842 0.0000
1.4232 2.0842 0.0000
0.0000 0.0000 8.0102
ATOMIC_POSITIONS crystal
Cr 0.0000 0.0000 0.0000
Cr 0.5000 0.5000 0.2370
Cr 0.5000 0.5000 0.7630
Rh 0.0000 0.0000 0.5000
```

---

[3]
DFT (SCAN) results for Hf3TcAs at its PBEsol-relaxed geometry. Values from VASP.

Properties
Calculated density = 10.6 g cm⁻³
Formation energy = 0.508 eV/atom
Magnetization = 2.13 Bohr magnetons per cell
SG = No. 221

Quantum ESPRESSO input file:
```
&SYSTEM
  ibrav = 0, nat = 5, ntyp = 3
/
ATOMIC_SPECIES
Hf 178.49 Hf.upf
Tc 98.00 Tc.upf
As 74.92 As.upf
CELL_PARAMETERS angstrom
4.8056 0.0000 0.0000
0.0000 4.8056 0.0000
0.0000 0.0000 4.8056
ATOMIC_POSITIONS crystal
Hf 0.0000 0.0000 0.5000
Hf 0.0000 0.5000 0.0000
Hf 0.5000 0.0000 0.0000
Tc 0.5000 0.5000 0.5000
As 0.0000 0.0000 0.0000
```

---

[4]
DFT (SCAN) results for ReOs3 at its PBEsol-relaxed geometry. Values from VASP.

Properties
Energy above the lowest structure with this stoichiometry = 0.05 eV per formula unit
Calculated density = 22.3 g cm⁻³
Formation energy = -0.080 eV/atom
Magnetization = 0.00 Bohr magnetons per cell
SG = No. 63

Quantum ESPRESSO input file:
```
&SYSTEM
  ibrav = 0, nat = 8, ntyp = 2
/
ATOMIC_SPECIES
Re 186.21 Re.upf
Os 190.23 Os.upf
CELL_PARAMETERS angstrom
2.7407 -4.7433 0.0000
2.7407 4.7433 0.0000
0.0000 0.0000 4.3357
ATOMIC_POSITIONS crystal
Re 0.0841 0.9159 0.7500
Re 0.9159 0.0841 0.2500
Os 0.0874 0.4188 0.7500
Os 0.4181 0.5819 0.2500
Os 0.4188 0.0874 0.2500
Os 0.5812 0.9126 0.7500
Os 0.5819 0.4181 0.7500
Os 0.9126 0.5812 0.2500
```

---

[5]
DFT (SCAN) results for AlAsCl at its PBEsol-relaxed geometry. Values from VASP.

Properties
Calculated density = 3.1 g cm⁻³
ΔE_f (raw) = -0.506 eV per atom
Magnetization = 0.00 Bohr magnetons per cell
SG = No. 107

Quantum ESPRESSO input file:
```
&SYSTEM
  ibrav = 0, nat = 3, ntyp = 3
/
ATOMIC_SPECIES
Al 26.98 Al.upf
As 74.92 As.upf
Cl 35.45 Cl.upf
CELL_PARAMETERS angstrom
-1.6179 1.6179 7.0944
1.6179 -1.6179 7.0944
1.6179 1.6179 -7.0944
ATOMIC_POSITIONS crystal
Al 0.0000 0.0000 0.0000
As 0.4053 0.4053 0.0000
Cl 0.1468 0.1468 0.0000
```

---

[6]
DFT (SCAN) results for Mg2AlSe2 at its PBEsol-relaxed geometry. Values from VASP.

Properties
Calculated density = 3.9 g cm⁻³
ΔE_f (raw) = -0.552 eV per atom
Magnetization = 0.00 Bohr magnetons per cell
SG = No. 127

Quantum ESPRESSO input file:
```
&SYSTEM
  ibrav = 0, nat = 10, ntyp = 3
/
ATOMIC_SPECIES
Mg 24.30 Mg.upf
Al 26.98 Al.upf
Se 78.96 Se.upf
CELL_PARAMETERS angstrom
7.4924 0.0000 0.0000
0.0000 7.4924 0.0000
0.0000 0.0000 3.5793
ATOMIC_POSITIONS crystal
Mg 0.1508 0.3492 0.0000
Mg 0.3492 0.8492 0.0000
Mg 0.6508 0.1508 0.0000
Mg 0.8492 0.6508 0.0000
Al 0.0000 0.0000 0.5000
Al 0.5000 0.5000 0.5000
Se 0.1572 0.6572 0.5000
Se 0.3428 0.1572 0.5000
Se 0.6572 0.8428 0.5000
Se 0.8428 0.3428 0.5000
```

---

[7]
DFT (SCAN) results for LiNbIn3 at its PBEsol-relaxed geometry. Values from VASP.

Properties
Calculated density = 7.1 g cm⁻³
Formation energy = 0.606 eV/atom
Magnetization = 2.12 Bohr magnetons per cell
SG = No. 221

Quantum ESPRESSO input file:
```
&SYSTEM
  ibrav = 0, nat = 5, ntyp = 3
/
ATOMIC_SPECIES
Li 6.94 Li.upf
Nb 92.91 Nb.upf
In 114.82 In.upf
CELL_PARAMETERS angstrom
4.7041 0.0000 0.0000
0.0000 4.7041 0.0000
0.0000 0.0000 4.7041
ATOMIC_POSITIONS crystal
Li 0.0000 0.0000 0.0000
Nb 0.5000 0.5000 0.5000
In 0.0000 0.0000 0.5000
In 0.0000 0.5000 0.0000
In 0.5000 0.0000 0.0000
```

---

[8]
DFT (SCAN) results for RuSeN2Cl at its PBEsol-relaxed geometry. Values from VASP.

Properties
Calculated density = 5.6 g cm⁻³
ΔE_f (raw) = 2.462 eV per atom
Magnetization = 3.13 Bohr magnetons per cell
SG = No. 123

Quantum ESPRESSO input file:
```
&SYSTEM
  ibrav = 0, nat = 5, ntyp = 4
/
ATOMIC_SPECIES
Ru 101.07 Ru.upf
Se 78.96 Se.upf
N 14.01 N.upf
Cl 35.45 Cl.upf
CELL_PARAMETERS angstrom
3.5001 0.0000 0.0000
0.0000 3.5001 0.0000
0.0000 0.0000 5.9097
ATOMIC_POSITIONS crystal
Ru 0.0000 0.0000 0.0000
Se 0.5000 0.5000 0.0000
N 0.0000 0.5000 0.5000
N 0.5000 0.0000 0.5000
Cl 0.5000 0.5000 0.5000
```

---

[9]
DFT (SCAN) results for ZnSbRh3 at its PBEsol-relaxed geometry. Values from VASP.

Properties
Energy above the lowest structure with this stoichiometry = 0.00 eV per formula unit
Calculated density = 9.3 g cm⁻³
ΔE_f (raw) = 0.729 eV per atom
Magnetization = 0.00 Bohr magnetons per cell
SG = No. 221

Quantum ESPRESSO input file:
```
&SYSTEM
  ibrav = 0, nat = 5, ntyp = 3
/
ATOMIC_SPECIES
Zn 65.41 Zn.upf
Sb 121.76 Sb.upf
Rh 102.91 Rh.upf
CELL_PARAMETERS angstrom
4.4513 0.0000 0.0000
0.0000 4.4513 0.0000
0.0000 0.0000 4.4513
ATOMIC_POSITIONS crystal
Zn 0.0000 0.0000 0.0000
Sb 0.5000 0.5000 0.5000
Rh 0.0000 0.0000 0.5000
Rh 0.0000 0.5000 0.0000
Rh 0.5000 0.0000 0.0000
```

---

[10]
DFT (SCAN) results for Mn2SbF at its PBEsol-relaxed geometry. Values from VASP.

Properties
Calculated density = 7.0 g cm⁻³
ΔE_f (raw) = -0.581 eV per atom
Magnetization = 8.75 Bohr magnetons per cell
SG = No. 225

Quantum ESPRESSO input file:
```
&SYSTEM
  ibrav = 0, nat = 4, ntyp = 3
/
ATOMIC_SPECIES
Mn 54.94 Mn.upf
Sb 121.76 Sb.upf
F 19.00 F.upf
CELL_PARAMETERS angstrom
0.0000 3.0967 3.0967
3.0967 0.0000 3.0967
3.0967 3.0967 0.0000
ATOMIC_POSITIONS crystal
Mn 0.2500 0.2500 0.2500
Mn 0.7500 0.7500 0.7500
Sb 0.0000 0.0000 0.0000
F 0.5000 0.5000 0.5000
```

---

[11]
DFT (SCAN) results for ZrBe3 at its PBEsol-relaxed geometry. Values from VASP.

Properties
Energy above the lowest structure with this stoichiometry = 0.79 eV per formula unit
Calculated density = 4.2 g cm⁻³
Formation energy = 0.016 eV/atom
Magnetization = 0.00 Bohr magnetons per cell
SG = No. 225

Quantum ESPRESSO input file:
```
&SYSTEM
  ibrav = 0, nat = 4, ntyp = 2
/
ATOMIC_SPECIES
Zr 91.22 Zr.upf
Be 9.01 Be.upf
CELL_PARAMETERS angstrom
0.0000 2.8556 2.8556
2.8556 0.0000 2.8556
2.8556 2.8556 0.0000
ATOMIC_POSITIONS crystal
Zr 0.0000 0.0000 0.0000
Be 0.2500 0.2500 0.2500
Be 0.5000 0.5000 0.5000
Be 0.7500 0.7500 0.7500
```

---

[12]
DFT (SCAN) results for BaInRh2 at its PBEsol-relaxed geometry. Values from VASP.

Properties
Calculated density = 9.3 g cm⁻³
Formation energy = -0.105 eV/atom
Magnetization = 0.00 Bohr magnetons per cell
SG = No. 123

Quantum ESPRESSO input file:
```
&SYSTEM
  ibrav = 0, nat = 4, ntyp = 3
/
ATOMIC_SPECIES
Ba 137.33 Ba.upf
In 114.82 In.upf
Rh 102.91 Rh.upf
CELL_PARAMETERS angstrom
3.3311 0.0000 0.0000
0.0000 3.3311 0.0000
0.0000 0.0000 7.3334
ATOMIC_POSITIONS crystal
Ba 0.0000 0.0000 0.0000
In 0.0000 0.0000 0.5000
Rh 0.5000 0.5000 0.3050
Rh 0.5000 0.5000 0.6950
```